A relaxed La6Ho5Sc crystal. Source: Alexandria, functional PBE.

abc: 16.4745 9.8020 5.2166
angles: 90.00 108.39 90.00
Last column: nearest neighbours and their distance in Å.
Space group C2/m (No. 12)
One atom of each set of equivalent atoms:
La 0.0000 0.2438 0.0000 (multiplicity 4)  2 Sc 3.54, 6 Ho 3.54-3.62, 4 La 3.67-3.68
La 0.1655 0.2469 0.6655 (multiplicity 8)  1 Sc 3.54, 7 Ho 3.56-3.60, 4 La 3.67-3.71
Ho 0.0000 0.5000 0.5000 (multiplicity 2)  8 La 3.59-3.62, 4 Ho 3.66-3.67
Ho 0.1648 0.5000 0.1647 (multiplicity 4)  8 La 3.59-3.60, 4 Ho 3.66-3.70
Ho 0.1675 0.0000 0.1675 (multiplicity 4)  8 La 3.54-3.60, 2 Sc 3.69-3.70, 2 Ho 3.70
Sc 0.0000 0.0000 0.5000 (multiplicity 2)  8 La 3.54, 4 Ho 3.69-3.70

Computed properties:
* calculated total energy: -4.867 eV per atom
* energy relative to the elements: 0.03 eV/atom
* Fermi-level density of states: 16.62 states/eV/f.u.
* spin magnetization: 0.0 μB/f.u.